VASP calculation (PBE-GGA) on Li2AgRu after structural relaxation.

CIF file:
```
data_Li2AgRu
_cell_length_a 2.7416
_cell_length_b 2.7416
_cell_length_c 27.5383
_cell_angle_alpha 90.00
_cell_angle_beta 90.00
_cell_angle_gamma 120.00
_space_group_name_H-M_alt 'R -3 m'
_space_group_IT_number 166
_space_group_name_Hall '-R 3 2"'
loop_
_atom_site_label
_atom_site_type_symbol
_atom_site_fract_x
_atom_site_fract_y
_atom_site_fract_z
Li1 Li 0.0000 0.0000 0.2449
Ag1 Ag 0.0000 0.0000 0.0000
Ru1 Ru 0.0000 0.0000 0.5000
```

Calculated values
* formation energy from the elements: 0.08 eV per atom
* electronic total energy: -0.287 Ry/atom
* V: 14.94 A^3/atom
* spin magnetization: 1.10 μB/cell
* offset from the most stable computed form: 18 meV/atom


VASP calculation (PBE-GGA) on Li2AgRu after structural relaxation.

CIF file:
```
data_Li2AgRu
_cell_length_a 2.581
_cell_length_b 4.455
_cell_length_c 5.248
_cell_angle_alpha 90.00
_cell_angle_beta 103.70
_cell_angle_gamma 90.00
_space_group_name_H-M_alt 'P 1 m 1'
_space_group_IT_number 6
loop_
_space_group_symop_operation_xyz
'x,y,z'
'x,-y,z'
loop_
_atom_site_label
_atom_site_type_symbol
_atom_site_fract_x
_atom_site_fract_y
_atom_site_fract_z
Li1 Li 0.000 0.000 0.000
Li2 Li 0.092 0.500 0.254
Ag1 Ag 0.357 0.500 0.751
Ru1 Ru 0.719 0.000 0.486
```

Calculated values
* formation energy from the elements: 0.15 eV per atom
* electronic total energy: -0.282 Ry/atom
* V: 14.66 A^3/atom
* spin magnetization: 0.00 μB/cell
* offset from the most stable computed form: 91 meV/atom


VASP calculation (PBE-GGA) on LiAgRu3 after structural relaxation.

CIF file:
```
data_LiAgRu3
_cell_length_a 4.166
_cell_length_b 4.166
_cell_length_c 4.166
_cell_angle_alpha 90.00
_cell_angle_beta 90.00
_cell_angle_gamma 90.00
_space_group_name_H-M_alt 'P m -3 m'
_space_group_IT_number 221
_space_group_name_Hall '-P 4 2 3'
loop_
_atom_site_label
_atom_site_type_symbol
_atom_site_fract_x
_atom_site_fract_y
_atom_site_fract_z
Li1 Li 0.000 0.000 0.000
Ag1 Ag 0.500 0.500 0.500
Ru1 Ru 0.000 0.000 0.500
```

Calculated values
* formation energy from the elements: 1.21 eV per atom
* electronic total energy: -0.390 Ry/atom
* V: 14.46 A^3/atom
* spin magnetization: 2.16 μB/cell
* offset from the most stable computed form: 0 meV/atom


VASP calculation (PBE-GGA) on Li2AgRu after structural relaxation.

CIF file:
```
data_Li2AgRu
_cell_length_a 3.774
_cell_length_b 3.774
_cell_length_c 8.195
_cell_angle_alpha 90.00
_cell_angle_beta 90.00
_cell_angle_gamma 90.00
_space_group_name_H-M_alt 'I -4 m 2'
_space_group_IT_number 119
_space_group_name_Hall 'I -4 -2'
loop_
_atom_site_label
_atom_site_type_symbol
_atom_site_fract_x
_atom_site_fract_y
_atom_site_fract_z
Li1 Li 0.000 0.000 0.000
Li2 Li 0.000 0.500 0.250
Ag1 Ag 0.000 0.000 0.500
Ru1 Ru 0.000 0.500 0.750
```

Calculated values
* formation energy from the elements: 0.32 eV per atom
* electronic total energy: -0.269 Ry/atom
* V: 14.59 A^3/atom
* spin magnetization: 2.07 μB/cell
* offset from the most stable computed form: 260 meV/atom


VASP calculation (PBE-GGA) on Li2AgRu after structural relaxation.

CIF file:
```
data_Li2AgRu
_cell_length_a 6.741
_cell_length_b 6.741
_cell_length_c 5.381
_cell_angle_alpha 90.00
_cell_angle_beta 90.00
_cell_angle_gamma 90.00
_space_group_name_H-M_alt 'I -4 2 d'
_space_group_IT_number 122
_space_group_name_Hall 'I -4 2bw'
loop_
_atom_site_label
_atom_site_type_symbol
_atom_site_fract_x
_atom_site_fract_y
_atom_site_fract_z
Li1 Li 0.249 0.250 0.125
Ag1 Ag 0.000 0.000 0.000
Ru1 Ru 0.000 0.000 0.500
```

Calculated values
* formation energy from the elements: 0.53 eV per atom
* electronic total energy: -0.254 Ry/atom
* V: 15.28 A^3/atom
* spin magnetization: 3.80 μB/cell
* offset from the most stable computed form: 464 meV/atom


VASP calculation (PBE-GGA) on Li2AgRu after structural relaxation.

CIF file:
```
data_Li2AgRu
_cell_length_a 2.868
_cell_length_b 4.538
_cell_length_c 9.142
_cell_angle_alpha 90.00
_cell_angle_beta 90.00
_cell_angle_gamma 90.00
_space_group_name_H-M_alt 'C m m m'
_space_group_IT_number 65
_space_group_name_Hall '-C 2 2'
loop_
_atom_site_label
_atom_site_type_symbol
_atom_site_fract_x
_atom_site_fract_y
_atom_site_fract_z
Li1 Li 0.000 0.000 0.237
Ag1 Ag 0.000 0.500 0.500
Ru1 Ru 0.000 0.500 0.000
```

Calculated values
* formation energy from the elements: 0.06 eV per atom
* electronic total energy: -0.289 Ry/atom
* V: 14.87 A^3/atom
* spin magnetization: 0.00 μB/cell
* offset from the most stable computed form: 0 meV/atom


VASP calculation (PBE-GGA) on LiAg2Ru after structural relaxation.

CIF file:
```
data_LiAg2Ru
_cell_length_a 2.733
_cell_length_b 4.835
_cell_length_c 4.835
_cell_angle_alpha 90.00
_cell_angle_beta 90.00
_cell_angle_gamma 90.00
_space_group_name_H-M_alt 'P m m m'
_space_group_IT_number 47
loop_
_space_group_symop_operation_xyz
'x,y,z'
'-x,-y,-z'
'-x,-y,z'
'x,y,-z'
'x,-y,-z'
'-x,y,z'
'-x,y,-z'
'x,-y,z'
loop_
_atom_site_label
_atom_site_type_symbol
_atom_site_fract_x
_atom_site_fract_y
_atom_site_fract_z
Li1 Li 0.000 0.000 0.000
Ag1 Ag 0.000 0.500 0.500
Ag2 Ag 0.500 0.500 0.000
Ru1 Ru 0.500 0.000 0.500
```

Calculated values
* formation energy from the elements: 0.36 eV per atom
* electronic total energy: -0.284 Ry/atom
* V: 15.97 A^3/atom
* spin magnetization: 0.22 μB/cell
* offset from the most stable computed form: 177 meV/atom


VASP calculation (PBE-GGA) on LiAg4Ru after structural relaxation.

CIF file:
```
data_LiAg4Ru
_cell_length_a 7.638
_cell_length_b 7.638
_cell_length_c 7.638
_cell_angle_alpha 90.00
_cell_angle_beta 90.00
_cell_angle_gamma 90.00
_space_group_name_H-M_alt 'F -4 3 m'
_space_group_IT_number 216
_space_group_name_Hall 'F -4 2 3'
loop_
_atom_site_label
_atom_site_type_symbol
_atom_site_fract_x
_atom_site_fract_y
_atom_site_fract_z
Li1 Li 0.000 0.000 0.000
Ag1 Ag 0.125 0.125 0.375
Ru1 Ru 0.250 0.250 0.750
```

Calculated values
* formation energy from the elements: 0.47 eV per atom
* electronic total energy: -0.242 Ry/atom
* V: 18.57 A^3/atom
* spin magnetization: 7.32 μB/cell